(1)
Here is a relaxed TbPm5Ho3 crystal from Alexandria. Energies are from PBE.

Cell lengths 9.341, 9.939, 7.297 Å; angles 90.00, 90.00, 118.03 degrees
Element x y z (fractional)
Pm 0.697 0.000 0.250
Pm 0.488 0.328 0.999
Pm 0.303 0.000 0.750
Pm 0.512 0.672 0.499
Pm 0.160 0.672 0.999
Pm 0.159 0.672 0.501
Pm 0.840 0.328 0.001
Pm 0.488 0.328 0.501
Pm 0.512 0.672 0.001
Pm 0.841 0.328 0.499
Tb 0.329 0.000 0.250
Tb 0.671 0.000 0.750
Ho 0.822 0.644 0.250
Ho 0.178 0.356 0.250
Ho 0.178 0.356 0.750
Ho 0.822 0.644 0.750
Ho 0.000 0.000 0.500
Ho 0.000 0.000 0.000

Values from the calculation:
Its space group is No. 63. The energy above the most stable polymorph in this dataset is 0 meV/atom.

***

(2)
Here is a relaxed Tb4Pm7Ho crystal from Alexandria. Energies are from PBE.

Cell lengths 5.986, 9.782, 8.630 Å; angles 60.80, 69.71, 72.18 degrees
Element x y z (fractional)
Tb 0.427 0.698 0.447
Tb 0.327 0.389 0.957
Tb 0.673 0.611 0.043
Tb 0.573 0.302 0.553
Pm 0.791 0.230 0.187
Pm 0.917 0.442 0.723
Pm 0.211 0.121 0.458
Pm 0.209 0.770 0.813
Pm 0.083 0.558 0.277
Pm 0.500 0.000 0.000
Pm 0.789 0.879 0.542
Ho 0.000 0.000 0.000

Values from the calculation:
Its space group is No. 12. The energy above the most stable polymorph in this dataset is 212 meV/atom.

***

(3)
Here is a relaxed Tb4Pm15Ho crystal from Alexandria. Energies are from PBE.

Cell lengths 5.131, 5.131, 25.592 Å; angles 90.00, 90.00, 90.00 degrees
Element x y z (fractional)
Pm 0.000 0.500 0.900
Pm 0.500 0.000 0.900
Pm 0.500 0.500 0.400
Pm 0.500 0.000 0.100
Pm 0.000 0.500 0.300
Pm 0.500 0.500 0.000
Pm 0.500 0.500 0.600
Pm 0.500 0.000 0.300
Pm 0.500 0.500 0.200
Pm 0.000 0.500 0.100
Pm 0.500 0.000 0.500
Pm 0.000 0.500 0.500
Pm 0.500 0.000 0.700
Pm 0.000 0.500 0.700
Pm 0.500 0.500 0.800
Tb 0.000 0.000 0.600
Tb 0.000 0.000 0.800
Tb 0.000 0.000 0.400
Tb 0.000 0.000 0.200
Ho 0.000 0.000 0.000

Values from the calculation:
Its space group is No. 123. The raw total energy is -4.704 eV/atom.

***

(4)
Here is a relaxed TbPm3Ho7 crystal from Alexandria. Energies are from PBE.

Cell lengths 5.823, 8.417, 8.417 Å; angles 83.40, 110.22, 110.22 degrees
Element x y z (fractional)
Ho 0.795 0.795 0.795
Ho 0.293 0.597 0.989
Ho 0.205 0.205 0.205
Ho 0.293 0.989 0.597
Ho 0.707 0.011 0.403
Ho 0.000 0.500 0.500
Ho 0.707 0.403 0.011
Pm 0.000 0.212 0.788
Pm 0.000 0.788 0.212
Pm 0.500 0.000 0.000
Tb 0.500 0.500 0.500

Values from the calculation:
Its space group is No. 71. The energy above the most stable polymorph in this dataset is 122 meV/atom.